[1]
# TaOsSCl2, relaxed, DFT PBE-GGA
# relative energy among the computed polymorphs: 0.258 eV per atom
# electronic total energy: -5.04 eV/atom
# D(E_F): 5.61 states/eV per cell
# formation energy (no corrections): 1138 meV per atom
data_TaOsSCl2
_chemical_formula_sum 'Ta1 Os1 S1 Cl2'
_cell_length_a 4.7499
_cell_length_b 4.7499
_cell_length_c 4.5738
_cell_angle_alpha 90.00
_cell_angle_beta 90.00
_cell_angle_gamma 90.00
_symmetry_space_group_name_H-M 'P 4/m m m'
_symmetry_Int_Tables_number 123
_symmetry_space_group_name_Hall '-P 4 2'
loop_
_atom_site_label
_atom_site_type_symbol
_atom_site_fract_x
_atom_site_fract_y
_atom_site_fract_z
_atom_site_occupancy
Ta1 Ta 0.0000 0.0000 0.0000 1
Os1 Os 0.5000 0.5000 0.5000 1
S1 S 0.5000 0.5000 0.0000 1
Cl1 Cl 0.0000 0.5000 0.5000 1

[2]
# TaOsSCl2, relaxed, DFT PBE-GGA
# relative energy among the computed polymorphs: 0.000 eV per atom
# electronic total energy: -5.30 eV/atom
# D(E_F): 5.96 states/eV per cell
# formation energy (no corrections): 880 meV per atom
data_TaOsSCl2
_chemical_formula_sum 'Ta1 Os1 S1 Cl2'
_cell_length_a 4.8469
_cell_length_b 4.8469
_cell_length_c 4.8095
_cell_angle_alpha 90.00
_cell_angle_beta 90.00
_cell_angle_gamma 90.00
_symmetry_space_group_name_H-M 'P 4/m m m'
_symmetry_Int_Tables_number 123
_symmetry_space_group_name_Hall '-P 4 2'
loop_
_atom_site_label
_atom_site_type_symbol
_atom_site_fract_x
_atom_site_fract_y
_atom_site_fract_z
_atom_site_occupancy
Ta1 Ta 0.0000 0.0000 0.0000 1
Os1 Os 0.5000 0.5000 0.5000 1
S1 S 0.0000 0.0000 0.5000 1
Cl1 Cl 0.0000 0.5000 0.0000 1

[3]
# TeOsS2Cl, relaxed, DFT PBE-GGA
# relative energy among the computed polymorphs: 0.000 eV per atom
# electronic total energy: -4.48 eV/atom
# D(E_F): 2.85 states/eV per cell
# formation energy (no corrections): 417 meV per atom
data_TeOsS2Cl
_chemical_formula_sum 'Te1 Os1 S2 Cl1'
_cell_length_a 4.6362
_cell_length_b 4.6362
_cell_length_c 4.7918
_cell_angle_alpha 90.00
_cell_angle_beta 90.00
_cell_angle_gamma 90.00
_symmetry_space_group_name_H-M 'P 4/m m m'
_symmetry_Int_Tables_number 123
_symmetry_space_group_name_Hall '-P 4 2'
loop_
_atom_site_label
_atom_site_type_symbol
_atom_site_fract_x
_atom_site_fract_y
_atom_site_fract_z
_atom_site_occupancy
Te1 Te 0.0000 0.0000 0.0000 1
Os1 Os 0.5000 0.5000 0.5000 1
S1 S 0.0000 0.5000 0.5000 1
Cl1 Cl 0.5000 0.5000 0.0000 1

Please write out number 2 again, unchanged.
# TaOsSCl2, relaxed, DFT PBE-GGA
# relative energy among the computed polymorphs: 0.000 eV per atom
# electronic total energy: -5.30 eV/atom
# D(E_F): 5.96 states/eV per cell
# formation energy (no corrections): 880 meV per atom
data_TaOsSCl2
_chemical_formula_sum 'Ta1 Os1 S1 Cl2'
_cell_length_a 4.8469
_cell_length_b 4.8469
_cell_length_c 4.8095
_cell_angle_alpha 90.00
_cell_angle_beta 90.00
_cell_angle_gamma 90.00
_symmetry_space_group_name_H-M 'P 4/m m m'
_symmetry_Int_Tables_number 123
_symmetry_space_group_name_Hall '-P 4 2'
loop_
_atom_site_label
_atom_site_type_symbol
_atom_site_fract_x
_atom_site_fract_y
_atom_site_fract_z
_atom_site_occupancy
Ta1 Ta 0.0000 0.0000 0.0000 1
Os1 Os 0.5000 0.5000 0.5000 1
S1 S 0.0000 0.0000 0.5000 1
Cl1 Cl 0.0000 0.5000 0.0000 1